1.
A relaxed GaSeN2F crystal. Source: the Alexandria database, functional PBE.

- symmetry = P4/mmm
- uncorrected energy (eV/atom) = -3.0759
- formation energy (no corrections) (eV per atom) = 1.9308
- crystal system = tetragonal
- polymorph energy (0 for the lowest one) (meV per atom) = 1293

a = 4.108 Å, b = 4.108 Å, c = 4.508 Å
α = 90.00°, β = 90.00°, γ = 90.00°
Positions (direct):
Ga 0.000 0.000 0.000
Se 0.500 0.500 0.000
N 0.000 0.500 0.500
N 0.500 0.000 0.500
F 0.500 0.500 0.500

2.
A relaxed PuNbRu4 crystal. Source: the Alexandria database, functional PBE.

- symmetry = F-43m
- uncorrected energy (eV/atom) = -10.2597
- crystal system = cubic

a = 5.220 Å, b = 5.220 Å, c = 5.220 Å
α = 60.00°, β = 60.00°, γ = 60.00°
Positions (direct):
Pu 0.000 0.000 0.000
Nb 0.250 0.250 0.250
Ru 0.126 0.625 0.625
Ru 0.625 0.126 0.625
Ru 0.625 0.625 0.126
Ru 0.625 0.625 0.625

3.
A relaxed TaIn3C crystal. Source: the Alexandria database, functional PBE.

- symmetry = Pm-3m
- uncorrected energy (eV/atom) = -3.8587
- crystal system = cubic
- polymorph energy (0 for the lowest one) (meV per atom) = 692

a = 5.481 Å, b = 5.481 Å, c = 5.481 Å
α = 90.00°, β = 90.00°, γ = 90.00°
Positions (direct):
Ta 0.000 0.000 0.000
In 0.000 0.000 0.500
In 0.000 0.500 0.000
In 0.500 0.000 0.000
C 0.500 0.500 0.500

4.
A relaxed AsRh2W crystal. Source: the Alexandria database, functional PBE.

- symmetry = I-42d
- uncorrected energy (eV/atom) = -7.5937
- crystal system = tetragonal

a = 6.782 Å, b = 6.782 Å, c = 6.782 Å
α = 131.44°, β = 131.44°, γ = 71.12°
Positions (direct):
As 0.000 0.000 0.000
As 0.750 0.250 0.500
Rh 0.119 0.625 0.994
Rh 0.375 0.369 0.494
Rh 0.631 0.125 0.006
Rh 0.875 0.881 0.506
W 0.250 0.750 0.500
W 0.500 0.500 0.000